# 1
NdCdNiAu, relaxed, DFT PBE; DFT formation energy = -0.344 eV per atom; magnetization = 0.0 μB/cell
1.0
4.900 0.000 0.000
2.450 4.243 0.000
2.450 1.414 4.001
Ni Nd Au Cd
1 1 1 1
direct
0.000 0.000 0.000
0.250 0.250 0.250
0.500 0.500 0.500
0.750 0.750 0.750



# 2
NdCdAuO4, relaxed, DFT PBE; magnetization = 0.0 μB/cell; formation energy (no corrections) = -1.39 eV per atom
1.0
6.423 0.000 0.000
-3.212 6.088 -0.603
0.000 -3.822 6.285
Nd Cd Au O
2 2 2 8
direct
0.500 0.000 0.500
0.500 0.000 0.000
0.810 0.619 0.060
0.190 0.381 0.940
0.500 0.500 0.500
0.000 0.500 0.500
0.744 0.487 0.669
0.213 0.847 0.173
0.633 0.847 0.173
0.744 0.487 0.318
0.256 0.513 0.682
0.787 0.153 0.827
0.367 0.153 0.827
0.256 0.513 0.331



# 3
NdCdPbAu, relaxed, DFT PBE; DFT formation energy = -0.404 eV per atom; magnetization = 0.0 μB/cell
1.0
5.236 0.000 0.000
2.618 4.535 0.000
2.618 1.512 4.275
Pb Nd Au Cd
1 1 1 1
direct
0.000 0.000 0.000
0.500 0.500 0.500
0.250 0.250 0.250
0.750 0.750 0.750



# 4
NdCd2PdAu2, relaxed, DFT PBE; DFT formation energy = 0.022 eV per atom; magnetization = 0.0 μB/cell
1.0
5.364 0.000 0.000
0.000 5.364 0.000
-2.682 -2.682 5.589
Nd Cd Pd Au
1 2 1 2
direct
0.500 0.500 0.000
0.250 0.750 0.500
0.750 0.250 0.500
0.000 0.000 0.000
0.763 0.763 0.527
0.237 0.237 0.473



no.,E_tot (eV per cell)
1,-16.12
2,-77.04
3,-14.28
4,-18.21